1.
The following is a meta-GGA SCAN calculation of KFe2Hg at its PBEsol-relaxed geometry, from Alexandria.

Values from the calculation:
DFT total energy in hartree per atom: -1.00620
E_form in eV/atom: 0.81
Symmetry: Immm (71)
Crystal system: orthorhombic

Structure (POSCAR):
```
KFe2Hg
1.0
2.791 0.000 0.000
0.000 5.204 0.000
-1.396 -2.602 5.354
Fe Hg K
2 1 1
Cartesian
1.396 2.602 2.983
0.000 0.000 2.371
1.396 0.000 0.000
0.000 2.602 0.000
```



2.
The following is a meta-GGA SCAN calculation of TiTcPO2 at its PBEsol-relaxed geometry, from Alexandria.

Values from the calculation:
DFT total energy in hartree per atom: -0.58576
Formation energy (no corrections) in meV per atom: -1149.1
Offset from the most stable computed form in kJ per mole of atoms: 0.0
Symmetry: P4/mmm (123)
Crystal system: tetragonal

Structure (POSCAR):
```
TiTcPO2
1.0
3.685 0.000 0.000
0.000 3.685 0.000
0.000 0.000 5.294
P Tc O Ti
1 1 2 1
Cartesian
0.000 0.000 2.647
1.842 1.842 2.647
0.000 1.842 0.000
1.842 0.000 0.000
0.000 0.000 0.000
```



3.
The following is a meta-GGA SCAN calculation of Li2MnGe2 at its PBEsol-relaxed geometry, from Alexandria.

Values from the calculation:
DFT total energy in hartree per atom: -0.44548
E_form in eV/atom: 0.12
Symmetry: I4/mmm (139)
Crystal system: tetragonal

Structure (POSCAR):
```
Li2MnGe2
1.0
-1.245 0.943 -2.711
-2.841 -0.827 1.017
1.173 6.029 3.364
Ge Mn Li
2 1 2
Cartesian
-0.699 4.893 2.024
-2.214 1.253 -0.353
0.000 0.000 0.000
-1.855 2.630 1.767
-1.058 3.515 -0.097
```



4.
The following is a meta-GGA SCAN calculation of MgIn2Cu at its PBEsol-relaxed geometry, from Alexandria.

Values from the calculation:
DFT total energy in hartree per atom: -0.79376
E_form in eV/atom: 0.14
Symmetry: F-43m (216)
Crystal system: cubic

Structure (POSCAR):
```
MgIn2Cu
1.0
4.825 0.000 0.000
2.412 4.178 0.000
2.412 1.393 3.939
Cu In Mg
1 2 1
Cartesian
4.825 2.786 1.970
0.000 0.000 0.000
7.237 4.178 2.955
2.412 1.393 0.985
```



5.
The following is a meta-GGA SCAN calculation of ZnCoTc at its PBEsol-relaxed geometry, from Alexandria.

Values from the calculation:
DFT total energy in hartree per atom: -0.80518
E_form in eV/atom: 0.05
Symmetry: I4mm (107)
Crystal system: tetragonal

Structure (POSCAR):
```
ZnCoTc
1.0
2.647 0.000 0.000
0.000 2.647 0.000
-1.324 -1.324 5.273
Zn Co Tc
1 1 1
Cartesian
0.000 0.000 3.608
0.000 0.000 0.040
1.324 1.324 1.625
```



6.
The following is a meta-GGA SCAN calculation of TcSbIr2 at its PBEsol-relaxed geometry, from Alexandria.

Values from the calculation:
DFT total energy in hartree per atom: -1.96138
Formation energy (no corrections) in meV per atom: 257.7
Symmetry: Pmm2 (25)
Crystal system: orthorhombic

Structure (POSCAR):
```
TcSbIr2
1.0
2.858 0.000 0.000
0.000 3.765 0.000
0.000 0.000 5.824
Ir Sb Tc
2 1 1
Cartesian
0.000 0.000 5.734
1.429 1.883 1.405
0.000 0.000 2.867
1.429 1.883 4.554
```



7.
The following is a meta-GGA SCAN calculation of SiTc2Hg at its PBEsol-relaxed geometry, from Alexandria.

Values from the calculation:
DFT total energy in hartree per atom: -1.35252
Formation energy (no corrections) in meV per atom: 271.4
Offset from the most stable computed form in kJ per mole of atoms: 9.5
Symmetry: Cmmm (65)
Crystal system: orthorhombic

Structure (POSCAR):
```
SiTc2Hg
1.0
-1.751 -2.000 -0.892
1.913 0.728 -1.916
5.226 -5.903 2.976
Hg Si Tc
1 1 2
Cartesian
2.694 -3.588 0.084
0.081 -0.636 -1.404
1.119 -1.264 0.637
4.107 -4.639 2.339
```



8.
The following is a meta-GGA SCAN calculation of DyB12 at its PBEsol-relaxed geometry, from Alexandria.

Values from the calculation:
DFT total energy in hartree per atom: -0.39818
E_form in eV/atom: -0.30
Symmetry: Fm-3m (225)
Crystal system: cubic

Structure (POSCAR):
```
DyB12
1.0
-1.972 -0.188 4.887
-2.430 -4.361 1.696
2.286 -3.042 3.650
B Dy
12 1
Cartesian
-1.213 -5.204 4.040
-1.878 -5.267 5.689
-2.650 -4.241 4.457
-0.286 -4.822 6.349
0.379 -4.759 4.699
0.534 -3.350 5.776
-1.830 -2.769 3.884
-0.238 -2.323 4.544
-0.392 -3.732 3.467
-0.903 -2.387 6.194
-2.495 -2.832 5.534
-1.724 -3.859 6.766
0.000 0.000 0.000
```



9.
The following is a meta-GGA SCAN calculation of TaBe2W at its PBEsol-relaxed geometry, from Alexandria.

Values from the calculation:
DFT total energy in hartree per atom: -1.31418
Offset from the most stable computed form in kJ per mole of atoms: 63.6
E_form in eV/atom: 0.48
Symmetry: I-42d (122)
Crystal system: tetragonal

Structure (POSCAR):
```
TaBe2W
1.0
5.199 -0.006 0.000
-2.579 4.514 0.000
-1.310 -2.254 4.498
Be W Ta
4 2 2
Cartesian
1.674 2.797 2.291
0.291 0.585 2.207
1.653 -1.715 4.456
-0.998 2.842 0.042
-1.289 2.257 2.249
0.000 0.000 0.000
2.599 -0.003 2.249
1.310 2.254 0.000
```



10.
The following is a meta-GGA SCAN calculation of ReB2Mo2 at its PBEsol-relaxed geometry, from Alexandria.

Values from the calculation:
DFT total energy in hartree per atom: -1.12803
Offset from the most stable computed form in kJ per mole of atoms: 73.9
E_form in eV/atom: 0.45
Symmetry: I4/mmm (139)
Crystal system: tetragonal

Structure (POSCAR):
```
ReB2Mo2
1.0
-3.278 1.295 0.269
-1.300 -3.287 -0.013
2.615 0.849 4.557
Re Mo B
1 2 2
Cartesian
0.000 0.000 0.000
-0.487 -1.717 2.336
-1.476 0.574 2.477
0.270 -0.122 3.874
-2.233 -1.022 0.940
```



11.
The following is a meta-GGA SCAN calculation of Mg2CrRu at its PBEsol-relaxed geometry, from Alexandria.

Values from the calculation:
DFT total energy in hartree per atom: -0.57663
Offset from the most stable computed form in kJ per mole of atoms: 0.0
E_form in eV/atom: 0.10
Symmetry: I4/mmm (139)
Crystal system: tetragonal

Structure (POSCAR):
```
Mg2CrRu
1.0
3.861 0.000 0.000
0.000 3.861 0.000
-1.930 -1.930 4.188
Cr Mg Ru
1 2 1
Cartesian
0.000 0.000 0.000
1.930 0.000 2.094
0.000 1.930 2.094
1.930 1.930 0.000
```



12.
The following is a meta-GGA SCAN calculation of La4Al5Br2 at its PBEsol-relaxed geometry, from Alexandria.

Values from the calculation:
DFT total energy in hartree per atom: -0.87211
Formation energy (no corrections) in meV per atom: -995.1
Symmetry: Cmmm (65)
Crystal system: orthorhombic

Structure (POSCAR):
```
La4Al5Br2
1.0
4.364 0.000 0.000
0.000 11.872 0.000
0.000 -0.763 11.847
La Al Br
8 10 4
Cartesian
0.000 8.165 8.707
2.182 -0.038 8.019
0.000 3.833 7.538
2.182 11.147 3.828
0.000 2.944 3.140
0.000 7.277 4.309
2.182 8.005 0.478
2.182 3.104 11.370
2.182 6.434 6.862
2.182 4.675 4.986
2.182 2.199 5.683
2.182 8.910 6.164
0.000 5.590 10.639
2.182 5.579 9.287
0.000 5.519 1.209
0.000 0.852 5.585
2.182 5.530 2.560
0.000 10.257 6.262
2.182 9.747 10.395
0.000 1.414 9.807
2.182 1.362 1.453
0.000 9.695 2.041
```



13.
The following is a meta-GGA SCAN calculation of MgIn3 at its PBEsol-relaxed geometry, from Alexandria.

Values from the calculation:
DFT total energy in hartree per atom: -0.96772
E_form in eV/atom: -0.05
Symmetry: Pmmm (47)
Crystal system: orthorhombic

Structure (POSCAR):
```
MgIn3
1.0
3.309 0.000 0.000
0.000 4.513 0.000
0.000 0.000 6.451
Mg In
1 3
Cartesian
1.654 2.257 0.000
0.000 0.000 4.883
0.000 0.000 1.568
1.654 2.257 3.225
```



14.
The following is a meta-GGA SCAN calculation of Ba2FeGe2O7 at its PBEsol-relaxed geometry, from Alexandria.

Values from the calculation:
DFT total energy in hartree per atom: -0.63268
Formation energy (no corrections) in meV per atom: -2297.5
Symmetry: P-42_1m (113)
Crystal system: tetragonal

Structure (POSCAR):
```
Ba2FeGe2O7
1.0
-1.268 -4.175 3.339
-0.661 -5.142 -6.680
8.201 -1.943 0.685
Ba Fe Ge O
4 2 4 14
Cartesian
-0.116 -6.182 1.197
5.344 -2.182 -0.628
5.140 -9.188 -0.567
2.177 -4.969 -5.315
3.136 -5.630 -1.328
-0.634 -2.088 1.670
2.194 -3.628 1.084
6.223 -5.492 -0.249
4.003 -7.879 -3.544
0.123 -5.523 -2.604
3.264 -3.725 2.544
-0.762 -3.993 -2.203
2.638 -2.295 0.068
5.861 -6.844 0.775
4.359 -6.578 -4.634
-0.314 -6.805 -1.521
2.379 -5.272 0.441
7.018 -4.080 0.476
3.442 -7.475 -1.910
-0.295 -5.695 -4.320
1.799 -4.939 -2.580
5.223 -9.149 -3.326
4.924 -4.836 -1.264
0.598 -3.598 1.858
```



15.
The following is a meta-GGA SCAN calculation of CaTeO3 at its PBEsol-relaxed geometry, from Alexandria.

Values from the calculation:
DFT total energy in hartree per atom: -0.56162
Formation energy (no corrections) in meV per atom: -2160.9
Symmetry: P4_3 (78)
Crystal system: tetragonal

Structure (POSCAR):
```
CaTeO3
1.0
-2.001 10.520 2.515
-6.075 -3.484 9.740
10.111 0.383 6.444
Ca Te O
20 20 60
Cartesian
0.249 2.117 4.545
-1.778 -1.022 3.661
5.811 -0.251 7.463
5.199 5.016 8.387
2.357 5.041 5.685
-3.874 4.841 13.555
-2.326 0.903 7.241
5.404 1.543 10.745
4.747 3.531 13.864
3.811 -0.103 4.337
5.842 2.929 5.228
1.688 5.815 14.276
-3.441 6.257 8.045
-0.456 7.484 6.208
4.291 6.884 11.546
-2.925 3.192 10.166
-2.261 -2.343 9.178
2.342 0.718 12.678
0.608 -2.515 11.844
-0.848 2.643 13.196
-3.248 4.065 5.033
3.144 1.901 7.244
4.703 8.223 5.993
-0.784 10.333 4.042
1.956 7.376 8.950
6.857 8.116 9.588
-6.064 4.913 10.484
-1.164 5.809 11.525
2.590 3.752 11.089
6.236 -1.660 12.467
0.155 5.524 3.068
-4.988 0.176 9.320
-0.101 0.988 9.975
-0.292 4.324 7.898
1.837 2.248 15.891
2.714 -2.493 14.582
0.390 -1.302 6.422
8.117 2.408 8.191
-2.715 -0.558 12.764
3.148 -1.220 9.770
-0.351 0.372 5.978
3.655 6.840 5.179
-3.471 2.416 5.986
-2.596 6.084 15.101
6.777 3.509 7.382
1.409 6.548 7.323
-2.269 7.122 12.302
3.660 2.528 12.064
-4.661 4.576 9.247
-3.211 -0.343 5.409
-2.265 8.258 7.440
3.654 3.714 7.214
5.479 8.827 10.656
-0.011 0.423 2.863
7.028 1.099 9.034
6.393 6.520 6.965
5.703 5.357 12.715
-4.279 7.982 9.462
0.581 3.576 6.392
1.192 4.036 3.517
0.989 2.921 11.646
-3.943 -0.949 8.254
0.127 9.329 8.208
6.361 6.353 9.963
5.468 3.884 10.300
-1.474 5.433 6.931
3.447 6.285 9.371
3.947 -0.312 11.219
4.088 4.191 4.281
-2.169 4.295 12.064
4.564 1.231 6.182
-1.466 2.885 8.328
-1.187 -1.696 12.976
-5.128 5.939 11.802
2.736 5.204 12.280
3.699 0.864 14.582
4.938 7.988 13.427
-4.772 2.849 11.564
2.660 3.765 15.063
2.943 8.830 8.263
0.888 1.520 14.414
0.800 6.527 4.524
0.717 7.718 13.233
7.539 0.719 6.214
0.478 9.414 5.125
0.833 -0.219 11.115
-3.781 -2.133 11.009
0.226 6.629 15.958
-1.617 2.989 3.335
3.228 6.659 15.897
-1.819 5.714 9.756
-4.038 1.712 8.789
-1.148 -0.251 8.997
-1.471 1.551 11.144
3.935 1.276 8.840
-1.932 7.965 4.454
-0.274 4.742 14.169
1.642 -1.249 13.663
2.708 8.703 11.367
2.464 1.863 4.335
```



16.
The following is a meta-GGA SCAN calculation of CaLa3Ir at its PBEsol-relaxed geometry, from Alexandria.

Values from the calculation:
DFT total energy in hartree per atom: -1.55975
Offset from the most stable computed form in kJ per mole of atoms: 2.0
E_form in eV/atom: -0.43
Symmetry: Pm-3m (221)
Crystal system: cubic

Structure (POSCAR):
```
CaLa3Ir
1.0
-2.843 4.403 -2.125
-4.850 -2.849 0.586
-0.614 2.117 5.208
Ca Ir La
1 1 3
Cartesian
-4.154 1.836 1.835
0.000 0.000 0.000
-2.425 -1.424 0.293
-0.307 1.059 2.604
-1.421 2.201 -1.063
```



17.
The following is a meta-GGA SCAN calculation of Rb2NaYBr6 at its PBEsol-relaxed geometry, from Alexandria.

Values from the calculation:
DFT total energy in hartree per atom: -0.77296
Formation energy (no corrections) in meV per atom: -2004.0
Symmetry: Fm-3m (225)
Crystal system: cubic

Structure (POSCAR):
```
Rb2NaYBr6
1.0
7.887 0.000 0.000
3.944 6.830 0.000
3.944 2.277 6.440
Y Na Br Rb
1 1 6 2
Cartesian
0.000 0.000 0.000
7.887 4.554 3.220
7.887 6.866 4.855
7.887 2.242 1.585
5.885 3.398 4.855
9.889 3.398 4.855
5.885 5.710 1.585
9.889 5.710 1.585
11.831 6.830 4.830
3.944 2.277 1.610
```



18.
The following is a meta-GGA SCAN calculation of Ta2FeAu at its PBEsol-relaxed geometry, from Alexandria.

Values from the calculation:
DFT total energy in hartree per atom: -2.02591
Offset from the most stable computed form in kJ per mole of atoms: 5.7
E_form in eV/atom: -0.01
Symmetry: P2/m (10)
Crystal system: monoclinic

Structure (POSCAR):
```
Ta2FeAu
1.0
-0.222 2.120 -1.934
-3.421 0.980 1.466
2.559 3.007 3.961
Au Fe Ta
1 1 2
Cartesian
-1.821 1.550 -0.234
-0.542 3.054 1.746
1.651 4.179 1.059
0.686 0.948 0.968
```



19.
The following is a meta-GGA SCAN calculation of Fe4Tc5 at its PBEsol-relaxed geometry, from Alexandria.

Values from the calculation:
DFT total energy in hartree per atom: -1.00744
E_form in eV/atom: 0.12
Symmetry: I4/mmm (139)
Crystal system: tetragonal

Structure (POSCAR):
```
Fe4Tc5
1.0
3.692 0.000 0.000
1.846 5.490 0.000
1.846 0.000 5.490
Fe Tc
4 5
Cartesian
3.692 1.889 1.889
3.692 3.601 3.601
1.846 3.601 1.889
1.846 1.889 3.601
0.000 0.000 0.000
3.692 0.000 3.611
1.846 1.880 0.000
3.692 3.611 0.000
1.846 0.000 1.880
```



20.
The following is a meta-GGA SCAN calculation of CaPt3 at its PBEsol-relaxed geometry, from Alexandria.

Values from the calculation:
DFT total energy in hartree per atom: -2.03936
E_form in eV/atom: -0.43
Symmetry: Pmmm (47)
Crystal system: orthorhombic

Structure (POSCAR):
```
CaPt3
1.0
2.809 0.000 0.000
0.000 4.120 0.000
0.000 0.000 5.795
Ca Pt
1 3
Cartesian
0.000 0.000 0.000
0.000 0.000 2.898
1.404 2.060 1.578
1.404 2.060 4.218
```